1.
DFT (PBE) results for a relaxed structure of MnSbH.

The structure belongs to space group P3_221 (No. 154); the cell edges are 5.1688, 5.1688 and 5.9504 Å and the angles 90.00°, 90.00° and 120.00°. The inequivalent atoms are Mn at (0.0000, 0.1429, 0.3333), Sb at (0.0000, 0.6279, 0.3333) and H at (0.0000, 0.6904, 0.8333).

For the total DFT energy (no corrections), the calculation gives -5.37 eV per atom. The spin magnetization is 2.7 μB per cell. As for the relative energy among the computed polymorphs: 0.125 eV/atom.

2.
DFT (PBE) results for a relaxed structure of La3PbO.

The structure belongs to space group P2_1 (No. 4); the cell edges are 7.314, 5.651 and 7.546 Å and the angles 90.00°, 104.69° and 90.00°. The inequivalent atoms are La at (0.122, 0.000, 0.247), La at (0.345, 0.517, 0.578), La at (0.377, 0.509, 0.094), Pb at (0.142, 0.999, 0.785) and O at (0.383, 0.254, 0.344).

The raw formation energy comes out at -1398 meV per atom. For the total DFT energy (no corrections), the calculation gives -6.09 eV per atom. The spin magnetization is 0.0 μB per cell.

3.
DFT (PBE) results for a relaxed structure of Nd5YMg.

The structure belongs to space group C2/c (No. 15); the cell edges are 8.704, 9.703 and 12.001 Å and the angles 90.00°, 110.69° and 90.00°. The inequivalent atoms are Nd at (0.000, 0.117, 0.250), Nd at (0.111, 0.439, 0.153), Nd at (0.173, 0.090, 0.038), Y at (0.000, 0.240, 0.750) and Mg at (0.250, 0.250, 0.500).

For the total DFT energy (no corrections), the calculation gives -4.45 eV per atom. The spin magnetization is 0.0 μB per cell. The calculation puts the formation energy at 0.10 eV/atom.

4.
DFT (PBE) results for a relaxed structure of CrIn2Tc.

The structure belongs to space group R3m (No. 160, hexagonal axes); the cell edges are 3.0964, 3.0964 and 26.8744 Å and the angles 90.00°, 90.00° and 120.00°. The inequivalent atoms are Cr at (0.0000, 0.0000, 0.0000), In at (0.0000, 0.0000, 0.2473), In at (0.0000, 0.0000, 0.4806) and Tc at (0.0000, 0.0000, 0.7245).

For the total DFT energy (no corrections), the calculation gives -6.04 eV per atom. The spin magnetization is 0.1 μB per cell. As for the relative energy among the computed polymorphs: 0.132 eV/atom. The calculation puts the formation energy at 0.32 eV/atom.

5.
DFT (PBE) results for a relaxed structure of PrAs2Pd5Au.

The structure belongs to space group P4/mmm (No. 123); the cell edges are 4.694, 4.694 and 7.664 Å and the angles 90.00°, 90.00° and 90.00°. The inequivalent atoms are Pr at (0.000, 0.000, 0.000), As at (0.500, 0.500, 0.338), Pd at (0.000, 0.500, 0.247), Pd at (0.500, 0.500, 0.000) and Au at (0.000, 0.000, 0.500).

For the total DFT energy (no corrections), the calculation gives -5.24 eV per atom. The spin magnetization is 0.0 μB per cell. The calculation puts the formation energy at -0.42 eV/atom.

6.
DFT (PBE) results for a relaxed structure of GeCl4F.

The structure belongs to space group I4_1/amd (No. 141, origin choice 2); the cell edges are 10.126, 10.126 and 7.345 Å and the angles 90.00°, 90.00° and 90.00°. The inequivalent atoms are Ge at (0.000, 0.250, 0.375), Cl at (0.000, 0.077, 0.208) and F at (0.000, 0.250, 0.875).

The raw formation energy comes out at -646 meV per atom. For the total DFT energy (no corrections), the calculation gives -2.96 eV per atom. The spin magnetization is 4.1 μB per cell.

7.
DFT (PBE) results for a relaxed structure of InSn2Hg.

The structure belongs to space group I4_1/amd (No. 141, origin choice 2); the cell edges are 5.531, 5.531 and 20.808 Å and the angles 90.00°, 90.00° and 90.00°. The inequivalent atoms are In at (0.000, 0.250, 0.375), Sn at (0.000, 0.000, 0.000) and Hg at (0.000, 0.250, 0.875).

For the total DFT energy (no corrections), the calculation gives -2.34 eV per atom. The spin magnetization is 0.0 μB per cell. As for the relative energy among the computed polymorphs: 0.392 eV/atom. The calculation puts the formation energy at 0.43 eV/atom.

8.
DFT (PBE) results for a relaxed structure of PmHg.

The structure belongs to space group Fm-3m (No. 225); the cell edges are 6.315, 6.315 and 6.315 Å and the angles 90.00°, 90.00° and 90.00°. The inequivalent atoms are Pm at (0.000, 0.000, 0.000) and Hg at (0.000, 0.000, 0.500).

For the total DFT energy (no corrections), the calculation gives -2.77 eV per atom. The spin magnetization is 0.0 μB per cell. The calculation puts the formation energy at -0.24 eV/atom.